Computed, not measured: a relaxed LiRe2HgW crystal at the PBE level of DFT.

The calculation puts the magnetization at 1.14 μB per cell. The calculation puts the density of states at the Fermi level at 5.50 states/eV/f.u. The calculation puts the formation energy at 1.84 eV/atom. The calculation puts the theoretical density at 11.8 Mg/m³.

The space group is P4/mmm (No. 123) and the conventional cell measures 4.743, 4.743 and 4.789 Å, with angles of 90.00, 90.00 and 90.00 degrees. The distinct sites, in fractional coordinates, are Li at (0.000, 0.000, 0.000), Re at (0.000, 0.500, 0.500), Hg at (0.500, 0.500, 0.000) and W at (0.000, 0.000, 0.500).